Entry 1:
This record from Alexandria describes an optimized crystal structure of Na2Zn2Au. The functional is PBE.

CIF file:
```
data_Na2Zn2Au
_cell_length_a 9.202
_cell_length_b 7.057
_cell_length_c 7.458
_cell_angle_alpha 90.00
_cell_angle_beta 90.00
_cell_angle_gamma 90.00
_space_group_name_H-M_alt 'C m c m'
_space_group_IT_number 63
_space_group_name_Hall '-C 2c 2'
loop_
_atom_site_label
_atom_site_type_symbol
_atom_site_fract_x
_atom_site_fract_y
_atom_site_fract_z
Na1 Na 0.191 0.000 0.000
Zn1 Zn 0.000 0.336 0.089
Au1 Au 0.000 0.311 0.750
```

Results
**Volume**: 24.215 Å³ per atom
**Energy relative to the lowest polymorph listed for this composition**: 55 meV per atom
**Energy relative to the elements**: -0.39 eV/f.u.

Entry 2:
This record from Alexandria describes an optimized crystal structure of NaZn2Au. The functional is PBE.

CIF file:
```
data_NaZn2Au
_cell_length_a 4.116
_cell_length_b 4.116
_cell_length_c 4.206
_cell_angle_alpha 90.00
_cell_angle_beta 90.00
_cell_angle_gamma 90.00
_space_group_name_H-M_alt 'P 4/m m m'
_space_group_IT_number 123
_space_group_name_Hall '-P 4 2'
loop_
_atom_site_label
_atom_site_type_symbol
_atom_site_fract_x
_atom_site_fract_y
_atom_site_fract_z
Na1 Na 0.000 0.000 0.000
Zn1 Zn 0.000 0.500 0.500
Au1 Au 0.500 0.500 0.000
```

Results
**Volume**: 17.816 Å³ per atom
**Energy relative to the elements**: -0.28 eV/f.u.

Entry 3:
This record from Alexandria describes an optimized crystal structure of Na3ZnAu3. The functional is PBE.

CIF file:
```
data_Na3ZnAu3
_cell_length_a 11.205
_cell_length_b 4.290
_cell_length_c 14.668
_cell_angle_alpha 90.00
_cell_angle_beta 111.31
_cell_angle_gamma 90.00
_space_group_name_H-M_alt 'C 1 2/m 1'
_space_group_IT_number 12
_space_group_name_Hall '-C 2y'
loop_
_atom_site_label
_atom_site_type_symbol
_atom_site_fract_x
_atom_site_fract_y
_atom_site_fract_z
Na1 Na 0.014 0.000 0.378
Na2 Na 0.107 0.000 0.923
Na3 Na 0.249 0.000 0.226
Zn1 Zn 0.232 0.500 0.408
Au1 Au 0.041 0.500 0.241
Au2 Au 0.117 0.500 0.079
Au3 Au 0.131 0.500 0.548
```

Results
**Volume**: 23.459 Å³ per atom
**Energy relative to the elements**: -1.91 eV/f.u.